Entry from the Alexandria database: a relaxed structure of NpCoNi2O8 (PBE with a Hubbard U).

```
data_NpCoNi2O8
_symmetry_space_group_name_H-M 'P 1 2/m 1'
_symmetry_Int_Tables_number 10
_symmetry_space_group_name_Hall '-P 2y'
_cell_length_a 4.6464
_cell_length_b 6.0569
_cell_length_c 4.6520
_cell_angle_alpha 90.00
_cell_angle_beta 92.77
_cell_angle_gamma 90.00
loop_
_atom_site_label
_atom_site_fract_x
_atom_site_fract_y
_atom_site_fract_z
Np1 0.0000 0.0000 0.0000
Co1 0.0000 0.5000 0.0000
Ni1 0.5000 0.2635 0.5000
O1 0.1893 0.2614 0.8122
O2 0.2886 0.5000 0.2895
O3 0.3096 0.0000 0.3111
```

## Properties
crystal system: monoclinic
DFT total energy: -79.31 eV per formula unit